(1)
! Tb2RePbO8 GGA-PBE optimized geometry; values from VASP
&SYSTEM
  ibrav = 0, nat = 12, ntyp = 4
/
ATOMIC_SPECIES
Pb 207.20 Pb.upf
O 16.00 O.upf
Tb 158.93 Tb.upf
Re 186.21 Re.upf
ATOMIC_POSITIONS crystal
Pb 0.000 0.000 0.500
O 0.182 0.818 0.200
O 0.272 0.272 0.000
O 0.818 0.182 0.200
Tb 0.500 0.500 0.755
O 0.688 0.688 0.500
O 0.182 0.818 0.800
O 0.818 0.182 0.800
Re 0.000 0.000 0.000
O 0.728 0.728 0.000
Tb 0.500 0.500 0.245
O 0.312 0.312 0.500
CELL_PARAMETERS angstrom
-4.631 -1.340 1.428
2.072 -3.042 3.425
-0.067 5.186 4.646
! V (A^3/atom): 14.7
! Space group: No. 65
! ΔE_f (raw) (eV per atom): -2.237

(2)
! ReTcPb2O6 GGA-PBE optimized geometry; values from VASP
&SYSTEM
  ibrav = 0, nat = 10, ntyp = 4
/
ATOMIC_SPECIES
Tc 98.00 Tc.upf
O 16.00 O.upf
Pb 207.20 Pb.upf
Re 186.21 Re.upf
ATOMIC_POSITIONS crystal
Tc 0.000 0.000 0.000
O 0.252 0.748 0.252
Pb 0.250 0.250 0.250
O 0.252 0.748 0.748
Pb 0.750 0.750 0.750
O 0.748 0.252 0.252
O 0.252 0.252 0.748
Re 0.500 0.500 0.500
O 0.748 0.748 0.252
O 0.748 0.252 0.748
CELL_PARAMETERS angstrom
1.554 -2.434 4.908
-2.717 1.331 4.824
-3.413 -3.817 2.491
! V (A^3/atom): 13.1
! Space group: No. 225
! ΔE_f (raw) (eV per atom): -1.191